Record 1
Entry from Alexandria: an optimized crystal structure of Li2PmHo2Pb2 (GGA-PBE).

The space group is R-3m (No. 166, hexagonal axes) and the conventional cell measures 4.8623, 4.8623 and 26.8576 Å, with angles of 90.00, 90.00 and 120.00 degrees. Symmetry generates all atoms from Li at (0.0000, 0.0000, 0.0894), Pm at (0.0000, 0.0000, 0.5000), Ho at (0.0000, 0.0000, 0.3698) and Pb at (0.0000, 0.0000, 0.2384).

The density of states at the Fermi level is 12.8 states/eV/cell.

Record 2
Entry from Alexandria: an optimized crystal structure of LiPrHoPb (GGA-PBE).

The space group is F-43m (No. 216) and the conventional cell measures 7.610, 7.610 and 7.610 Å, with angles of 90.00, 90.00 and 90.00 degrees. Symmetry generates all atoms from Li at (0.000, 0.000, 0.000), Pr at (0.250, 0.250, 0.750), Ho at (0.250, 0.250, 0.250) and Pb at (0.000, 0.000, 0.500).

The density of states at the Fermi level is 12.9 states/eV/cell.

no.,DFT formation energy (meV/atom),magnetic moment (μB per atom)
1,-322.2,0.000
2,-287.4,0.000